A PBEsol-optimized structure of RbBeSn2Os, computed with meta-GGA SCAN.

POSCAR file:
```
RbBeSn2Os
1.0
5.0511 0.0000 0.0000
0.0000 5.0511 0.0000
0.0000 0.0000 6.3702
Sn Rb Os Be
2 1 1 1
direct
0.0000 0.5000 0.0000
0.5000 0.0000 0.0000
0.0000 0.0000 0.5000
0.0000 0.0000 0.0000
0.5000 0.5000 0.5000
```

Output
* ΔH_f (0 K): 4.520 eV/f.u.
* V: 162.53 Å³ per cell
* crystal system: tetragonal
* total energy: -32.86 eV per atom
* total moment: 0.000 μB/atom
* symmetry: P4/mmm (123)

---

A PBEsol-optimized structure of Mn2TeMo, computed with meta-GGA SCAN.

POSCAR file:
```
Mn2TeMo
1.0
3.4103 0.0000 0.0000
0.0000 4.0653 0.0000
-1.7052 -2.0326 4.1221
Te Mo Mn
1 1 2
direct
0.2586 0.7586 0.5171
0.4997 0.4997 0.9994
0.7370 0.2370 0.4741
0.0047 0.0047 0.0094
```

Output
* V: 57.15 Å³ per cell
* crystal system: orthorhombic
* total energy: -26.95 eV per atom
* total moment: 1.160 μB/atom
* symmetry: Imm2 (44)
* uncorrected formation energy: 216 meV per atom